(A)
The following is a GGA-PBE calculation of a relaxed LiCoAsPd crystal, from OQMD via LeMat-Bulk.

The crystal system is cubic.

The space group is F-43m (No. 216) and the conventional cell measures 5.9030, 5.9030 and 5.9030 Å, with angles of 90.00, 90.00 and 90.00 degrees. The distinct sites, in fractional coordinates, are Li at (0.0000, 0.0000, 0.0000), Co at (0.2500, 0.2500, 0.7500), As at (0.0000, 0.0000, 0.5000) and Pd at (0.2500, 0.2500, 0.2500).

(B)
The following is a GGA-PBE calculation of a relaxed LiCoAsPd crystal, from OQMD via LeMat-Bulk.

The crystal system is cubic.

The space group is F-43m (No. 216) and the conventional cell measures 5.9531, 5.9531 and 5.9531 Å, with angles of 90.00, 90.00 and 90.00 degrees. The distinct sites, in fractional coordinates, are Li at (0.0000, 0.0000, 0.0000), Co at (0.0000, 0.0000, 0.5000), As at (0.2500, 0.2500, 0.2500) and Pd at (0.2500, 0.2500, 0.7500).

Quick one: most stable of them? (A)

(A)
The following is a GGA-PBE calculation of a relaxed LiCoReAs crystal, from OQMD via LeMat-Bulk.

The crystal system is cubic.

The space group is F-43m (No. 216) and the conventional cell measures 5.8182, 5.8182 and 5.8182 Å, with angles of 90.00, 90.00 and 90.00 degrees. The distinct sites, in fractional coordinates, are Li at (0.0000, 0.0000, 0.0000), Co at (0.2500, 0.2500, 0.7500), Re at (0.2500, 0.2500, 0.2500) and As at (0.0000, 0.0000, 0.5000).

(B)
The following is a GGA-PBE calculation of a relaxed LiCoReAs crystal, from OQMD via LeMat-Bulk.

The crystal system is cubic.

The space group is F-43m (No. 216) and the conventional cell measures 5.9153, 5.9153 and 5.9153 Å, with angles of 90.00, 90.00 and 90.00 degrees. The distinct sites, in fractional coordinates, are Li at (0.0000, 0.0000, 0.0000), Co at (0.0000, 0.0000, 0.5000), Re at (0.2500, 0.2500, 0.7500) and As at (0.2500, 0.2500, 0.2500).

Quick one: most stable of them? (A)

(A)
The following is a GGA-PBE calculation of a relaxed LiTaCoAs crystal, from OQMD via LeMat-Bulk.

The crystal system is cubic.

The space group is F-43m (No. 216) and the conventional cell measures 6.0099, 6.0099 and 6.0099 Å, with angles of 90.00, 90.00 and 90.00 degrees. The distinct sites, in fractional coordinates, are Li at (0.0000, 0.0000, 0.0000), Ta at (0.2500, 0.2500, 0.2500), Co at (0.2500, 0.2500, 0.7500) and As at (0.0000, 0.0000, 0.5000).

(B)
The following is a GGA-PBE calculation of a relaxed LiTaCoAs crystal, from OQMD via LeMat-Bulk.

The crystal system is cubic.

The space group is F-43m (No. 216) and the conventional cell measures 5.9981, 5.9981 and 5.9981 Å, with angles of 90.00, 90.00 and 90.00 degrees. The distinct sites, in fractional coordinates, are Li at (0.0000, 0.0000, 0.0000), Ta at (0.2500, 0.2500, 0.7500), Co at (0.0000, 0.0000, 0.5000) and As at (0.2500, 0.2500, 0.2500).

Quick one: most stable of them? (B)

(A)
The following is a GGA-PBE calculation of a relaxed LiTlCoAs crystal, from OQMD via LeMat-Bulk.

The crystal system is cubic.

The space group is F-43m (No. 216) and the conventional cell measures 6.3405, 6.3405 and 6.3405 Å, with angles of 90.00, 90.00 and 90.00 degrees. The distinct sites, in fractional coordinates, are Li at (0.0000, 0.0000, 0.0000), Tl at (0.2500, 0.2500, 0.2500), Co at (0.0000, 0.0000, 0.5000) and As at (0.2500, 0.2500, 0.7500).

(B)
The following is a GGA-PBE calculation of a relaxed LiTlCoAs crystal, from OQMD via LeMat-Bulk.

The crystal system is cubic.

The space group is F-43m (No. 216) and the conventional cell measures 6.5654, 6.5654 and 6.5654 Å, with angles of 90.00, 90.00 and 90.00 degrees. The distinct sites, in fractional coordinates, are Li at (0.0000, 0.0000, 0.0000), Tl at (0.2500, 0.2500, 0.2500), Co at (0.2500, 0.2500, 0.7500) and As at (0.0000, 0.0000, 0.5000).

Quick one: most stable of them? (A)

(A)
The following is a GGA-PBE calculation of a relaxed LiCoAsW crystal, from OQMD via LeMat-Bulk.

The crystal system is cubic.

The space group is F-43m (No. 216) and the conventional cell measures 5.8957, 5.8957 and 5.8957 Å, with angles of 90.00, 90.00 and 90.00 degrees. The distinct sites, in fractional coordinates, are Li at (0.0000, 0.0000, 0.0000), Co at (0.2500, 0.2500, 0.2500), As at (0.0000, 0.0000, 0.5000) and W at (0.2500, 0.2500, 0.7500).

(B)
The following is a GGA-PBE calculation of a relaxed LiCoAsW crystal, from OQMD via LeMat-Bulk.

The crystal system is cubic.

The space group is F-43m (No. 216) and the conventional cell measures 5.9497, 5.9497 and 5.9497 Å, with angles of 90.00, 90.00 and 90.00 degrees. The distinct sites, in fractional coordinates, are Li at (0.0000, 0.0000, 0.0000), Co at (0.0000, 0.0000, 0.5000), As at (0.2500, 0.2500, 0.2500) and W at (0.2500, 0.2500, 0.7500).

Quick one: most stable of them? (A)

(A)
The following is a GGA-PBE calculation of a relaxed LiYCoAs crystal, from OQMD via LeMat-Bulk.

The crystal system is cubic.

The space group is F-43m (No. 216) and the conventional cell measures 6.5535, 6.5535 and 6.5535 Å, with angles of 90.00, 90.00 and 90.00 degrees. The distinct sites, in fractional coordinates, are Li at (0.0000, 0.0000, 0.0000), Y at (0.0000, 0.0000, 0.5000), Co at (0.2500, 0.2500, 0.7500) and As at (0.2500, 0.2500, 0.2500).

(B)
The following is a GGA-PBE calculation of a relaxed LiYCoAs crystal, from OQMD via LeMat-Bulk.

The crystal system is cubic.

The space group is F-43m (No. 216) and the conventional cell measures 6.2126, 6.2126 and 6.2126 Å, with angles of 90.00, 90.00 and 90.00 degrees. The distinct sites, in fractional coordinates, are Li at (0.0000, 0.0000, 0.0000), Y at (0.2500, 0.2500, 0.7500), Co at (0.0000, 0.0000, 0.5000) and As at (0.2500, 0.2500, 0.2500).

Quick one: most stable of them? (B)

(A)
The following is a GGA-PBE calculation of a relaxed LuMgCoAs crystal, from OQMD via LeMat-Bulk.

The crystal system is cubic.

The space group is F-43m (No. 216) and the conventional cell measures 6.5285, 6.5285 and 6.5285 Å, with angles of 90.00, 90.00 and 90.00 degrees. The distinct sites, in fractional coordinates, are Lu at (0.0000, 0.0000, 0.0000), Mg at (0.2500, 0.2500, 0.7500), Co at (0.0000, 0.0000, 0.5000) and As at (0.2500, 0.2500, 0.2500).

(B)
The following is a GGA-PBE calculation of a relaxed LuMgCoAs crystal, from OQMD via LeMat-Bulk.

The crystal system is cubic.

The space group is F-43m (No. 216) and the conventional cell measures 6.4961, 6.4961 and 6.4961 Å, with angles of 90.00, 90.00 and 90.00 degrees. The distinct sites, in fractional coordinates, are Lu at (0.0000, 0.0000, 0.0000), Mg at (0.2500, 0.2500, 0.2500), Co at (0.2500, 0.2500, 0.7500) and As at (0.0000, 0.0000, 0.5000).

Quick one: most stable of them? (B)

(A)
The following is a GGA-PBE calculation of a relaxed LuCoMoAs crystal, from OQMD via LeMat-Bulk.

The crystal system is cubic.

The space group is F-43m (No. 216) and the conventional cell measures 6.3076, 6.3076 and 6.3076 Å, with angles of 90.00, 90.00 and 90.00 degrees. The distinct sites, in fractional coordinates, are Lu at (0.0000, 0.0000, 0.0000), Co at (0.2500, 0.2500, 0.7500), Mo at (0.2500, 0.2500, 0.2500) and As at (0.0000, 0.0000, 0.5000).

(B)
The following is a GGA-PBE calculation of a relaxed LuCoMoAs crystal, from OQMD via LeMat-Bulk.

The crystal system is cubic.

The space group is F-43m (No. 216) and the conventional cell measures 6.4918, 6.4918 and 6.4918 Å, with angles of 90.00, 90.00 and 90.00 degrees. The distinct sites, in fractional coordinates, are Lu at (0.0000, 0.0000, 0.0000), Co at (0.0000, 0.0000, 0.5000), Mo at (0.2500, 0.2500, 0.7500) and As at (0.2500, 0.2500, 0.2500).

Quick one: most stable of them? (A)